(1)
VASP calculation (PBE-GGA) on a geometry-optimized Nb2CuBr4 structure.

```
Nb2CuBr4
1.0
-2.8027 2.8027 6.2234
2.8027 -2.8027 6.2234
2.8027 2.8027 -6.2234
Nb Cu Br
2 1 4
Direct
0.0850 0.0850 0.0000
0.9150 0.9150 0.0000
0.5000 0.5000 0.0000
0.0000 0.5000 0.5000
0.3022 0.3022 0.0000
0.5000 0.0000 0.5000
0.6978 0.6978 0.0000
```

## Properties
As for the raw formation energy: 0.196 eV per atom. The energy comes out at -29.555 eV per cell. The total magnetization is 0.000 μB per atom.

(2)
VASP calculation (PBE-GGA) on a geometry-optimized ScBiCl structure.

```
ScBiCl
1.0
4.0617 0.0000 0.0000
-0.0125 6.7162 0.0000
-0.0025 -1.8744 6.9750
Sc Bi Cl
2 2 2
Direct
0.0001 0.0025 0.2441
0.9999 0.9975 0.7559
0.4995 0.7624 0.9419
0.5005 0.2376 0.0581
0.0084 0.7407 0.4349
0.9916 0.2593 0.5651
```

## Properties
As for the raw formation energy: -1.070 eV per atom. The energy comes out at -30.538 eV per cell. The total magnetization is 0.000 μB per atom.